Record 1
First-principles (PBE) data for an optimized crystal structure of BaRe2Au, as listed in the Alexandria database.

Summary:
* energy of formation from the pure elements: 0.9781 eV per atom
* raw total energy: -6.546 eV per atom
* offset from the most stable computed form: 59.5 kJ per mole of atoms

Structure (CIF):
```
data_BaRe2Au
_cell_length_a 4.728
_cell_length_b 4.728
_cell_length_c 19.504
_cell_angle_alpha 90.00
_cell_angle_beta 90.00
_cell_angle_gamma 90.00
_symmetry_space_group_name_H-M 'I -4 2 d'
_symmetry_Int_Tables_number 122
_symmetry_space_group_name_Hall 'I -4 2bw'
loop_
_atom_site_label
_atom_site_fract_x
_atom_site_fract_y
_atom_site_fract_z
Ba1 0.000 0.000 0.000
Re1 0.045 0.750 0.625
Au1 0.000 0.000 0.500
```

Record 2
First-principles (PBE) data for an optimized crystal structure of ZnH2Pd2, as listed in the Alexandria database.

Summary:
* raw total energy: -3.578 eV per atom
* offset from the most stable computed form: 30.3 kJ per mole of atoms

Structure (CIF):
```
data_ZnH2Pd2
_cell_length_a 6.511
_cell_length_b 6.511
_cell_length_c 2.878
_cell_angle_alpha 90.00
_cell_angle_beta 90.00
_cell_angle_gamma 90.00
_symmetry_space_group_name_H-M 'P 4/m b m'
_symmetry_Int_Tables_number 127
_symmetry_space_group_name_Hall '-P 4 2ab'
loop_
_atom_site_label
_atom_site_fract_x
_atom_site_fract_y
_atom_site_fract_z
Zn1 0.000 0.000 0.000
H1 0.247 0.253 0.500
Pd1 0.150 0.650 0.000
```

Record 3
First-principles (PBE) data for an optimized crystal structure of Np2Ga3Pt4, as listed in the Alexandria database.

Summary:
* energy of formation from the pure elements: -0.6275 eV per atom
* raw total energy: -7.197 eV per atom

Structure (CIF):
```
data_Np2Ga3Pt4
_cell_length_a 5.651
_cell_length_b 15.579
_cell_length_c 7.490
_cell_angle_alpha 90.00
_cell_angle_beta 90.00
_cell_angle_gamma 90.00
_symmetry_space_group_name_H-M 'C m c e'
_symmetry_Int_Tables_number 64
_symmetry_space_group_name_Hall '-C 2ac 2'
loop_
_atom_site_label
_atom_site_fract_x
_atom_site_fract_y
_atom_site_fract_z
Np1 0.000 0.101 0.100
Ga1 0.000 0.000 0.500
Ga2 0.250 0.233 0.750
Pt1 0.000 0.176 0.475
Pt2 0.250 0.065 0.750
```

Record 4
First-principles (PBE) data for an optimized crystal structure of La2Er3Hg4, as listed in the Alexandria database.

Summary:
* energy of formation from the pure elements: -0.3696 eV per atom
* raw total energy: -3.120 eV per atom

Structure (CIF):
```
data_La2Er3Hg4
_cell_length_a 7.047
_cell_length_b 17.796
_cell_length_c 8.272
_cell_angle_alpha 90.00
_cell_angle_beta 90.00
_cell_angle_gamma 90.00
_symmetry_space_group_name_H-M 'C m c e'
_symmetry_Int_Tables_number 64
_symmetry_space_group_name_Hall '-C 2ac 2'
loop_
_atom_site_label
_atom_site_fract_x
_atom_site_fract_y
_atom_site_fract_z
La1 0.000 0.095 0.091
Er1 0.000 0.000 0.500
Er2 0.250 0.238 0.750
Hg1 0.000 0.170 0.474
Hg2 0.250 0.065 0.750
```

Record 5
First-principles (PBE) data for an optimized crystal structure of PmO2F4, as listed in the Alexandria database.

Summary:
* raw total energy: -4.820 eV per atom

Structure (CIF):
```
data_PmO2F4
_cell_length_a 4.023
_cell_length_b 4.025
_cell_length_c 6.875
_cell_angle_alpha 75.18
_cell_angle_beta 75.29
_cell_angle_gamma 89.47
_symmetry_space_group_name_H-M 'P -1'
_symmetry_Int_Tables_number 2
loop_
_symmetry_equiv_pos_as_xyz
'x,y,z'
'-x,-y,-z'
loop_
_atom_site_label
_atom_site_fract_x
_atom_site_fract_y
_atom_site_fract_z
Pm1 0.000 0.000 0.000
O1 0.194 0.192 0.428
F1 0.072 0.583 0.803
F2 0.418 0.927 0.197
```

Record 6
First-principles (PBE) data for an optimized crystal structure of Sr2MgGe4Ir3, as listed in the Alexandria database.

Summary:
* energy of formation from the pure elements: -0.5201 eV per atom
* raw total energy: -5.521 eV per atom

Structure (CIF):
```
data_Sr2MgGe4Ir3
_cell_length_a 4.362
_cell_length_b 4.362
_cell_length_c 10.551
_cell_angle_alpha 90.00
_cell_angle_beta 90.00
_cell_angle_gamma 90.00
_symmetry_space_group_name_H-M 'P -4 m 2'
_symmetry_Int_Tables_number 115
loop_
_symmetry_equiv_pos_as_xyz
'x,y,z'
'y,-x,-z'
'-x,-y,z'
'-y,x,-z'
'-x,y,z'
'-y,-x,-z'
'x,-y,z'
'y,x,-z'
loop_
_atom_site_label
_atom_site_fract_x
_atom_site_fract_y
_atom_site_fract_z
Sr1 0.000 0.500 0.241
Mg1 0.000 0.000 0.500
Ge1 0.000 0.000 0.000
Ge2 0.000 0.500 0.642
Ge3 0.500 0.500 0.000
Ir1 0.000 0.500 0.880
Ir2 0.500 0.500 0.500
```

Record 7
First-principles (PBE) data for an optimized crystal structure of RbFeSeN2, as listed in the Alexandria database.

Summary:
* raw total energy: -3.301 eV per atom
* offset from the most stable computed form: 155.3 kJ per mole of atoms

Structure (CIF):
```
data_RbFeSeN2
_cell_length_a 4.955
_cell_length_b 4.955
_cell_length_c 6.772
_cell_angle_alpha 90.00
_cell_angle_beta 90.00
_cell_angle_gamma 90.00
_symmetry_space_group_name_H-M 'P 4/m m m'
_symmetry_Int_Tables_number 123
_symmetry_space_group_name_Hall '-P 4 2'
loop_
_atom_site_label
_atom_site_fract_x
_atom_site_fract_y
_atom_site_fract_z
Rb1 0.000 0.000 0.000
Fe1 0.500 0.500 0.500
Se1 0.000 0.000 0.500
N1 0.000 0.500 0.000
```

Record 8
First-principles (PBE) data for an optimized crystal structure of SrIO6, as listed in the Alexandria database.

Summary:
* raw total energy: -4.696 eV per atom

Structure (CIF):
```
data_SrIO6
_cell_length_a 6.139
_cell_length_b 6.573
_cell_length_c 5.409
_cell_angle_alpha 90.00
_cell_angle_beta 100.29
_cell_angle_gamma 90.00
_symmetry_space_group_name_H-M 'C 1 2/m 1'
_symmetry_Int_Tables_number 12
loop_
_symmetry_equiv_pos_as_xyz
'x,y,z'
'-x,-y,-z'
'-x,y,-z'
'x,-y,z'
'x+1/2,y+1/2,z'
'-x+1/2,-y+1/2,-z'
'-x+1/2,y+1/2,-z'
'x+1/2,-y+1/2,z'
loop_
_atom_site_label
_atom_site_fract_x
_atom_site_fract_y
_atom_site_fract_z
Sr1 0.000 0.000 0.000
I1 0.000 0.500 0.500
O1 0.140 0.309 0.741
O2 0.232 0.000 0.649
```